# Ti11Zn9Ni4

A relaxed Ti11Zn9Ni4 crystal (PBE, the Alexandria database).

Summary:
DFT formation energy = -278 meV per atom
M_tot = 1.18 μB per formula unit
Calculated volume = 358.5 Å³ per cell

Cell lengths 3.004, 11.370, 11.370 Å; angles 112.62, 90.00, 90.00 degrees
Site moments in Bohr magnetons follow the coordinates.
Element x y z (fractional)
Ti 0.000 0.588 0.935  0.01
Ti 0.000 0.412 0.065  0.01
Ti 0.000 0.935 0.588  0.01
Ti 0.000 0.065 0.412  0.01
Ti 0.000 0.634 0.366  -0.04
Ti 0.000 0.366 0.634  -0.04
Ti 0.000 0.841 0.159  0.34
Ti 0.000 0.159 0.841  0.34
Ti 0.000 0.000 0.000  0.38
Ti 0.000 0.700 0.700  -0.03
Ti 0.000 0.300 0.300  -0.03
Zn 0.500 0.634 0.157  0.00
Zn 0.500 0.366 0.843  0.00
Zn 0.500 0.157 0.634  0.00
Zn 0.500 0.843 0.366  0.00
Zn 0.500 0.785 0.929  0.00
Zn 0.500 0.215 0.071  0.00
Zn 0.500 0.929 0.785  0.00
Zn 0.500 0.071 0.215  0.00
Zn 0.500 0.500 0.500  0.00
Ni 0.500 0.551 0.753  0.00
Ni 0.500 0.449 0.247  0.00
Ni 0.500 0.753 0.551  0.00
Ni 0.500 0.247 0.449  0.00

# FeCu2Mo

A relaxed FeCu2Mo crystal (PBE, the Alexandria database).

Summary:
DFT formation energy = 259 meV per atom
Distance to the lowest polymorph of the same formula = 105 meV per atom
M_tot = 0.04 μB per formula unit
Calculated volume = 50.0 Å³ per cell

Cell lengths 4.787, 4.787, 4.787 Å; angles 137.18, 137.31, 62.06 degrees
Site moments in Bohr magnetons follow the coordinates.
Element x y z (fractional)
Cu 0.000 0.000 0.000  0.00
Cu 0.500 0.500 0.000  0.00
Fe 0.750 0.250 0.500  0.06
Mo 0.250 0.750 0.500  -0.01

# LiZr

A relaxed LiZr crystal (PBE, the Alexandria database).

Summary:
DFT formation energy = 233 meV per atom
Distance to the lowest polymorph of the same formula = 149 meV per atom
M_tot = 0.00 μB per formula unit
Calculated volume = 42.5 Å³ per cell

Cell lengths 2.952, 2.952, 5.627 Å; angles 90.00, 90.00, 120.00 degrees
Element x y z (fractional)
Li 0.000 0.000 0.000
Zr 0.667 0.333 0.500

# HfS2Cl

A relaxed HfS2Cl crystal (PBE, the Alexandria database).

Summary:
Distance to the lowest polymorph of the same formula = 1462 meV per atom
Formation energy from raw total energies = 0.454 eV/atom
M_tot = 0.00 μB per formula unit
Calculated volume = 89.3 Å³ per cell

Cell lengths 8.934, 8.934, 8.934 Å; angles 22.20, 22.20, 22.20 degrees
Element x y z (fractional)
S 0.911 0.911 0.911
S 0.089 0.089 0.089
Hf 0.000 0.000 0.000
Cl 0.500 0.500 0.500

# TlCuC

A relaxed TlCuC crystal (PBE, the Alexandria database).

Summary:
DFT formation energy = 537 meV per atom
M_tot = 0.00 μB per formula unit
Calculated volume = 112.9 Å³ per cell

Cell lengths 3.870, 7.033, 6.311 Å; angles 123.88, 52.69, 105.75 degrees
Element x y z (fractional)
Tl 0.440 0.286 0.580
Tl 0.473 0.087 0.942
C 0.408 0.671 0.296
C 0.667 0.683 0.048
Cu 0.033 0.679 0.679
Cu 0.862 0.599 0.308

# Ac3Cu4Au2

A relaxed Ac3Cu4Au2 crystal (PBE, the Alexandria database).

Summary:
DFT formation energy = -449 meV per atom
M_tot = 0.00 μB per formula unit
Calculated volume = 217.8 Å³ per cell

Cell lengths 4.533, 6.122, 8.808 Å; angles 105.24, 90.00, 111.73 degrees
Element x y z (fractional)
Ac 0.665 0.331 0.669
Ac 0.000 0.000 0.000
Ac 0.335 0.669 0.331
Cu 0.729 0.457 0.049
Cu 0.271 0.543 0.951
Cu 0.948 0.895 0.605
Cu 0.052 0.105 0.395
Au 0.613 0.226 0.277
Au 0.387 0.774 0.723

# KTc2Te

A relaxed KTc2Te crystal (PBE, the Alexandria database).

Summary:
Formation energy from raw total energies = 1.243 eV/atom
M_tot = 3.49 μB per formula unit
Calculated volume = 81.1 Å³ per cell

Cell lengths 4.284, 4.284, 4.419 Å; angles 90.00, 90.00, 90.00 degrees
Site moments in Bohr magnetons follow the coordinates.
Element x y z (fractional)
K 0.000 0.500 0.500  0.01
Tc 0.000 0.000 0.000  1.56
Tc 0.500 0.500 0.000  1.56
Te 0.500 0.000 0.500  -0.03

# NaCd6Pb

A relaxed NaCd6Pb crystal (PBE, the Alexandria database).

Summary:
DFT formation energy = -25 meV per atom
Distance to the lowest polymorph of the same formula = 0 meV per atom
M_tot = 0.00 μB per formula unit
Calculated volume = 198.4 Å³ per cell

Cell lengths 5.028, 6.430, 6.430 Å; angles 107.36, 90.00, 90.00 degrees
Element x y z (fractional)
Na 0.500 0.370 0.630
Cd 0.000 0.058 0.359
Cd 0.000 0.641 0.942
Cd 0.000 0.561 0.439
Cd 0.500 0.453 0.147
Cd 0.500 0.853 0.547
Cd 0.500 0.932 0.068
Pb 0.000 0.132 0.868